# 1
RbSn3 | PBE-GGA | relaxed

abc: 4.8004 6.8181 8.6422
angles: 90.00 90.00 90.00
Fractional coordinates of all 8 atoms:
1 Sn 0.5000 0.0000 0.0000
2 Sn 0.0000 0.2500 0.1436
3 Sn 0.0000 0.7500 0.8564
4 Sn 0.5000 0.7500 0.6421
5 Sn 0.5000 0.2500 0.3579
6 Sn 0.5000 0.5000 0.0000
7 Rb 0.0000 0.2500 0.6847
8 Rb 0.0000 0.7500 0.3153

DOS(E_F) in states/eV per cell: 2.97
E in eV per atom: -3.30
Energy of formation from the pure elements in eV/atom: -0.0593

# 2
Ti2NbZn2Co2 | PBE-GGA | relaxed

abc: 4.2712 4.2570 7.0037
angles: 107.66 90.00 120.11
Fractional coordinates of all 7 atoms:
1 Nb 0.0000 0.0000 0.0000
2 Zn 0.1406 0.2812 0.4203
3 Zn 0.8594 0.7188 0.5797
4 Co 0.7359 0.4717 0.2045
5 Co 0.2641 0.5283 0.7955
6 Ti 0.3985 0.7971 0.1918
7 Ti 0.6015 0.2029 0.8082

DOS(E_F) in states/eV per cell: 7.41
E in eV per atom: -6.24
Energy of formation from the pure elements in eV/atom: -0.1501

# 3
Ca4In2Ag | PBE-GGA | relaxed

abc: 5.3686 5.3686 9.3416
angles: 73.30 73.30 60.00
Fractional coordinates of all 7 atoms:
1 Ca 0.1247 0.1247 0.6260
2 Ca 0.3745 0.3745 0.8764
3 Ca 0.8753 0.8753 0.3740
4 Ca 0.6255 0.6255 0.1236
5 Ag 0.0000 0.0000 0.0000
6 In 0.7486 0.7486 0.7542
7 In 0.2514 0.2514 0.2458

DOS(E_F) in states/eV per cell: 6.67
E in eV per atom: -2.63
Energy of formation from the pure elements in eV/atom: -0.3006

# 4
TlAg2Sb | PBE-GGA | relaxed

abc: 4.5837 6.3882 7.1798
angles: 90.00 90.00 111.02
Fractional coordinates of all 8 atoms:
1 Ag 0.3753 0.7507 0.9491
2 Ag 0.6247 0.2493 0.0509
3 Ag 0.3753 0.7507 0.5509
4 Ag 0.6247 0.2493 0.4491
5 Sb 0.7832 0.5665 0.7500
6 Sb 0.2168 0.4335 0.2500
7 Tl 0.9369 0.8738 0.2500
8 Tl 0.0631 0.1262 0.7500

DOS(E_F) in states/eV per cell: 2.77
E in eV per atom: -2.94
Raw formation energy in eV per formula unit: 0.44

# 5
NiMo2W | PBE-GGA | relaxed

abc: 9.4603 9.4603 9.4603
angles: 16.60 16.60 16.60
Fractional coordinates of all 4 atoms:
1 Mo 0.2441 0.2441 0.2441
2 Mo 0.9999 0.9999 0.9999
3 Ni 0.5001 0.5001 0.5001
4 W 0.7559 0.7559 0.7559

DOS(E_F) in states/eV per cell: 3.41
E in eV per atom: -9.78
Energy of formation from the pure elements in eV/atom: 0.3147
Relative energy among the computed polymorphs in meV per atom: 266

# 6
TaTcRu2 | PBE-GGA | relaxed

abc: 9.2639 9.2639 9.2639
angles: 17.20 17.20 17.20
Fractional coordinates of all 4 atoms:
1 Ru 0.0039 0.0039 0.0039
2 Ru 0.4961 0.4961 0.4961
3 Ta 0.2500 0.2500 0.2500
4 Tc 0.7500 0.7500 0.7500

DOS(E_F) in states/eV per cell: 5.42
E in eV per atom: -10.11
Energy of formation from the pure elements in eV/atom: 0.0791
Relative energy among the computed polymorphs in meV per atom: 204

# 7
Cs2CuAsI6 | PBE-GGA | relaxed

abc: 8.2009 8.2009 8.2078
angles: 60.03 60.03 90.00
Fractional coordinates of all 10 atoms:
1 Cs 0.7500 0.2500 0.5000
2 Cs 0.2500 0.7500 0.5000
3 As 0.0000 0.0000 0.0000
4 I 0.2525 0.7475 0.0000
5 I 0.2525 0.2525 0.0000
6 I 0.7475 0.7475 0.0000
7 I 0.2521 0.2521 0.4957
8 I 0.7475 0.2525 0.0000
9 I 0.7479 0.7479 0.5043
10 Cu 0.5000 0.5000 0.0000

DOS(E_F) in states/eV per cell: 0.05
E in eV per atom: -2.66
Raw formation energy in eV per formula unit: -6.88

# 8
CaHfBr2O | PBE-GGA | relaxed

abc: 5.8350 3.8781 5.8350
angles: 90.00 90.00 90.00
Site moments in Bohr magnetons follow the coordinates.
Fractional coordinates of all 5 atoms:
1 Br 0.0000 0.0000 0.5000  0.03
2 Br 0.5000 0.0000 0.0000  0.03
3 O 0.0000 0.0000 0.0000  -0.02
4 Ca 0.5000 0.5000 0.5000  0.15
5 Hf 0.0000 0.5000 0.0000  0.69

DOS(E_F) in states/eV per cell: 1.90
E in eV per atom: -5.16
Raw formation energy in eV per formula unit: -5.56